# 1
First-principles (GGA-PBE) data for a geometry-optimized K2CaZn structure, as listed in the Alexandria database.

```
data_K2CaZn
_chemical_formula_sum 'K4 Ca2 Zn2'
_symmetry_space_group_name_H-M 'C m m m'
_symmetry_Int_Tables_number 65
_symmetry_space_group_name_Hall '-C 2 2'
_cell_length_a 7.235
_cell_length_b 12.215
_cell_length_c 4.114
_cell_angle_alpha 90.00
_cell_angle_beta 90.00
_cell_angle_gamma 90.00
loop_
_atom_site_label
_atom_site_fract_x
_atom_site_fract_y
_atom_site_fract_z
K1 0.250 0.250 0.000
Ca1 0.000 0.000 0.500
Zn1 0.000 0.500 0.500
```

Values from the calculation:
M_tot (μB per cell): 0.0
Calculated formation energy (eV/atom): 0.27
Density of states at the Fermi level (states/eV/atom): 0.981


# 2
First-principles (GGA-PBE) data for a geometry-optimized CoGePt structure, as listed in the Alexandria database.

```
data_CoGePt
_chemical_formula_sum 'Co2 Ge2 Pt2'
_symmetry_space_group_name_H-M 'I 4 m m'
_symmetry_Int_Tables_number 107
_symmetry_space_group_name_Hall 'I 4 -2'
_cell_length_a 2.743
_cell_length_b 2.743
_cell_length_c 13.273
_cell_angle_alpha 90.00
_cell_angle_beta 90.00
_cell_angle_gamma 90.00
loop_
_atom_site_label
_atom_site_fract_x
_atom_site_fract_y
_atom_site_fract_z
Co1 0.000 0.000 0.000
Ge1 0.000 0.000 0.178
Pt1 0.000 0.000 0.813
```

Values from the calculation:
M_tot (μB per cell): 3.6
Calculated formation energy (eV/atom): 0.41
Density of states at the Fermi level (states/eV/atom): 1.314


# 3
First-principles (GGA-PBE) data for a geometry-optimized TbInPtO6 structure, as listed in the Alexandria database.

```
data_TbInPtO6
_chemical_formula_sum 'Tb2 In2 Pt2 O12'
_symmetry_space_group_name_H-M 'P 42 n m'
_symmetry_Int_Tables_number 102
_cell_length_a 4.933
_cell_length_b 4.933
_cell_length_c 10.034
_cell_angle_alpha 90.00
_cell_angle_beta 90.00
_cell_angle_gamma 90.00
loop_
_symmetry_equiv_pos_as_xyz
'x,y,z'
'-y+1/2,x+1/2,z+1/2'
'-x,-y,z'
'y+1/2,-x+1/2,z+1/2'
'-x+1/2,y+1/2,z+1/2'
'y,x,z'
'x+1/2,-y+1/2,z+1/2'
'-y,-x,z'
loop_
_atom_site_label
_atom_site_fract_x
_atom_site_fract_y
_atom_site_fract_z
Tb1 0.000 0.000 0.000
In1 0.000 0.000 0.663
Pt1 0.000 0.000 0.330
O1 0.182 0.182 0.481
O2 0.192 0.192 0.180
O3 0.221 0.221 0.828
```

Values from the calculation:
M_tot (μB per cell): 1.2
Energy relative to the elements, uncorrected (meV per atom): -1448
Density of states at the Fermi level (states/eV/atom): 0.723


# 4
First-principles (GGA-PBE) data for a geometry-optimized RuPbIN2 structure, as listed in the Alexandria database.

```
data_RuPbIN2
_chemical_formula_sum 'Ru1 Pb1 I1 N2'
_symmetry_space_group_name_H-M 'P 4/m m m'
_symmetry_Int_Tables_number 123
_symmetry_space_group_name_Hall '-P 4 2'
_cell_length_a 4.308
_cell_length_b 4.308
_cell_length_c 6.086
_cell_angle_alpha 90.00
_cell_angle_beta 90.00
_cell_angle_gamma 90.00
loop_
_atom_site_label
_atom_site_fract_x
_atom_site_fract_y
_atom_site_fract_z
Ru1 0.000 0.000 0.000
Pb1 0.500 0.500 0.500
I1 0.500 0.500 0.000
N1 0.000 0.500 0.500
```

Values from the calculation:
M_tot (μB per cell): 5.0
Energy relative to the elements, uncorrected (meV per atom): 2191
Distance to the lowest polymorph of the same formula (eV per formula unit): 4.97
Density of states at the Fermi level (states/eV/atom): 1.165


# 5
First-principles (GGA-PBE) data for a geometry-optimized LaPm2Cd2In2 structure, as listed in the Alexandria database.

```
data_LaPm2Cd2In2
_chemical_formula_sum 'La3 Pm6 Cd6 In6'
_symmetry_space_group_name_H-M 'R -3 m'
_symmetry_Int_Tables_number 166
_symmetry_space_group_name_Hall '-R 3 2"'
_cell_length_a 5.0142
_cell_length_b 5.0142
_cell_length_c 27.8018
_cell_angle_alpha 90.00
_cell_angle_beta 90.00
_cell_angle_gamma 120.00
loop_
_atom_site_label
_atom_site_fract_x
_atom_site_fract_y
_atom_site_fract_z
La1 0.0000 0.0000 0.0000
Pm1 0.0000 0.0000 0.1301
Cd1 0.0000 0.0000 0.4089
In1 0.0000 0.0000 0.2616
```

Values from the calculation:
M_tot (μB per cell): 0.0
Calculated formation energy (eV/atom): -0.31
Density of states at the Fermi level (states/eV/atom): 0.575


# 6
First-principles (GGA-PBE) data for a geometry-optimized K2ZnTcPt structure, as listed in the Alexandria database.

```
data_K2ZnTcPt
_chemical_formula_sum 'K2 Zn1 Tc1 Pt1'
_symmetry_space_group_name_H-M 'P 4/m m m'
_symmetry_Int_Tables_number 123
_symmetry_space_group_name_Hall '-P 4 2'
_cell_length_a 6.260
_cell_length_b 6.260
_cell_length_c 4.873
_cell_angle_alpha 90.00
_cell_angle_beta 90.00
_cell_angle_gamma 90.00
loop_
_atom_site_label
_atom_site_fract_x
_atom_site_fract_y
_atom_site_fract_z
K1 0.000 0.500 0.000
Zn1 0.000 0.000 0.500
Tc1 0.500 0.500 0.500
Pt1 0.500 0.500 0.000
```

Values from the calculation:
M_tot (μB per cell): 2.9
Calculated formation energy (eV/atom): 0.81
Density of states at the Fermi level (states/eV/atom): 0.758